Computed, not measured: crystalline LaTb4DyTm2 at its relaxed geometry at the GGA-PBE level of DFT.

Values from the calculation:
DFT formation energy = 7 meV/atom
Magnetic moment = 0.00 μB/cell
V = 511.1 Å³/cell
SG = P-1, No. 2

abc: 7.1486 7.1494 11.5223
angles: 89.98 89.95 60.21
Fractional positions:
La  0.0000  0.0000  0.0000
La  0.5000  0.5000  0.0000
Tb  0.1670  0.1668  0.2528
Tb  0.1672  0.6668  0.2534
Tb  0.3334  0.3332  0.7469
Tb  0.3330  0.8329  0.7464
Tb  0.6670  0.1671  0.2536
Tb  0.6666  0.6668  0.2531
Tb  0.8328  0.3332  0.7466
Tb  0.8330  0.8332  0.7472
Dy  0.0000  0.0000  0.5000
Dy  0.5000  0.0000  0.0000
Tm  0.0000  0.5000  0.0000
Tm  0.0000  0.5000  0.5000
Tm  0.5000  0.0000  0.5000
Tm  0.5000  0.5000  0.5000

***

Computed, not measured: crystalline La3TbDy6Tm2 at its relaxed geometry at the GGA-PBE level of DFT.

Values from the calculation:
DFT formation energy = 24 meV/atom
Magnetic moment = 0.00 μB/cell
V = 391.0 Å³/cell
SG = C2/m, No. 12

abc: 6.2152 6.2152 11.8709
angles: 95.01 95.01 120.02
Fractional positions:
La  0.0000  0.0000  0.0000
La  0.3332  0.6668  0.0000
La  0.6668  0.3332  0.0000
Tb  0.5000  0.5000  0.5000
Dy  0.0854  0.4191  0.2566
Dy  0.2471  0.2471  0.7435
Dy  0.4191  0.0854  0.2566
Dy  0.5809  0.9146  0.7434
Dy  0.7529  0.7529  0.2565
Dy  0.9146  0.5809  0.7434
Tm  0.1667  0.8333  0.5000
Tm  0.8333  0.1667  0.5000

***

Computed, not measured: crystalline LaTb2Dy6Tm3 at its relaxed geometry at the GGA-PBE level of DFT.

Values from the calculation:
DFT formation energy = 23 meV/atom
Magnetic moment = 0.00 μB/cell
V = 379.3 Å³/cell
SG = C2/m, No. 12

abc: 6.1468 6.1468 11.7651
angles: 94.98 94.98 119.96
Fractional positions:
La  0.0000  0.0000  0.0000
Tb  0.3334  0.6666  0.0000
Tb  0.6666  0.3334  0.0000
Dy  0.0855  0.4199  0.2542
Dy  0.2491  0.2491  0.7457
Dy  0.4199  0.0855  0.2542
Dy  0.5801  0.9145  0.7458
Dy  0.7509  0.7509  0.2543
Dy  0.9145  0.5801  0.7458
Tm  0.1670  0.8330  0.5000
Tm  0.5000  0.5000  0.5000
Tm  0.8330  0.1670  0.5000

***

Computed, not measured: crystalline LaTbDy2Tm2 at its relaxed geometry at the GGA-PBE level of DFT.

Values from the calculation:
DFT formation energy = 173 meV/atom
Magnetic moment = 0.00 μB/cell
V = 392.9 Å³/cell
SG = Pnnm, No. 58

abc: 6.9309 16.0294 3.5360
angles: 90.00 90.00 90.00
Fractional positions:
La  0.0000  0.0000  0.0000
La  0.5000  0.5000  0.5000
Tb  0.0000  0.5000  0.5000
Tb  0.5000  0.0000  0.0000
Dy  0.2484  0.3409  0.0000
Dy  0.2516  0.8409  0.5000
Dy  0.7484  0.1591  0.5000
Dy  0.7516  0.6591  0.0000
Tm  0.2501  0.1563  0.5000
Tm  0.2499  0.6563  0.0000
Tm  0.7501  0.3437  0.0000
Tm  0.7499  0.8437  0.5000

***

Computed, not measured: crystalline LaTbDyTm at its relaxed geometry at the GGA-PBE level of DFT.

Values from the calculation:
DFT formation energy = 111 meV/atom
Energy above the most stable polymorph in this dataset = 3 meV per atom
Magnetic moment = 0.00 μB/cell
V = 132.5 Å³/cell
SG = F-43m, No. 216

abc: 5.7219 5.7219 5.7219
angles: 60.00 60.00 60.00
Fractional positions:
La  0.0000  0.0000  0.0000
Tb  0.5000  0.5000  0.5000
Dy  0.7500  0.7500  0.7500
Tm  0.2500  0.2500  0.2500

***

Computed, not measured: crystalline LaTb6Dy2Tm3 at its relaxed geometry at the GGA-PBE level of DFT.

Values from the calculation:
DFT formation energy = 22 meV/atom
Magnetic moment = 0.00 μB/cell
V = 381.5 Å³/cell
SG = C2/m, No. 12

abc: 6.1588 6.1588 11.7890
angles: 94.98 94.98 119.97
Fractional positions:
La  0.0000  0.0000  0.0000
Tb  0.0855  0.4200  0.2540
Tb  0.2491  0.2491  0.7459
Tb  0.4200  0.0855  0.2540
Tb  0.5800  0.9145  0.7460
Tb  0.7509  0.7509  0.2541
Tb  0.9145  0.5800  0.7460
Dy  0.3334  0.6666  0.0000
Dy  0.6666  0.3334  0.0000
Tm  0.1671  0.8329  0.5000
Tm  0.5000  0.5000  0.5000
Tm  0.8329  0.1671  0.5000

***

Computed, not measured: crystalline La2Tb6DyTm3 at its relaxed geometry at the GGA-PBE level of DFT.

Values from the calculation:
DFT formation energy = 24 meV/atom
Magnetic moment = 0.00 μB/cell
V = 387.2 Å³/cell
SG = C2/m, No. 12

abc: 6.1916 6.1916 11.8437
angles: 95.00 95.00 120.00
Fractional positions:
La  0.1665  0.8335  0.0000
La  0.8335  0.1665  0.0000
Tb  0.0820  0.4141  0.7441
Tb  0.2539  0.2539  0.2560
Tb  0.4141  0.0820  0.7441
Tb  0.5859  0.9180  0.2559
Tb  0.7461  0.7461  0.7440
Tb  0.9180  0.5859  0.2559
Dy  0.5000  0.5000  0.0000
Tm  0.0000  0.0000  0.5000
Tm  0.3337  0.6663  0.5000
Tm  0.6663  0.3337  0.5000

***

Computed, not measured: crystalline La5TbDyTm2 at its relaxed geometry at the GGA-PBE level of DFT.

Values from the calculation:
DFT formation energy = 130 meV/atom
Magnetic moment = 0.00 μB/cell
V = 633.6 Å³/cell
SG = Cmc2_1, No. 36

abc: 11.2031 11.2031 10.6374
angles: 90.00 90.00 151.67
Fractional positions:
La  0.0001  0.9999  0.0000
La  0.9999  0.0001  0.5000
La  0.1233  0.8767  0.7500
La  0.2204  0.7796  0.0613
La  0.2196  0.7804  0.4400
La  0.4995  0.5005  0.7501
La  0.5005  0.4995  0.2501
La  0.7796  0.2204  0.5613
La  0.7804  0.2196  0.9400
La  0.8767  0.1233  0.2500
Tb  0.2885  0.7115  0.7506
Tb  0.7115  0.2885  0.2506
Dy  0.1001  0.8999  0.2499
Dy  0.8999  0.1001  0.7499
Tm  0.3866  0.6134  0.5008
Tm  0.3871  0.6129  0.9992
Tm  0.6134  0.3866  0.0008
Tm  0.6129  0.3871  0.4992